1.
DFT (PBE) results for Ho3CdCo after structural relaxation.

a = 5.140 Å, b = 5.140 Å, c = 5.140 Å
α = 90.00°, β = 90.00°, γ = 90.00°
Element x y z (fractional)
1 Ho 0.000 0.000 0.500
2 Ho 0.000 0.500 0.000
3 Ho 0.500 0.000 0.000
4 Cd 0.500 0.500 0.500
5 Co 0.000 0.000 0.000

Relative energy among the computed polymorphs, eV/atom: 0.097
Total energy, eV/atom: -4.4654
Spin magnetization, μB per formula unit: 0.00
Formation energy from the elements, meV per atom: -115


2.
DFT (PBE) results for Ho5Cd2Co2 after structural relaxation.

a = 8.980 Å, b = 8.980 Å, c = 7.299 Å
α = 90.00°, β = 90.00°, γ = 47.21°
Element x y z (fractional)
1 Ho 0.000 0.000 0.000
2 Ho 0.068 0.696 0.685
3 Ho 0.196 0.568 0.185
4 Ho 0.304 0.932 0.685
5 Ho 0.432 0.804 0.185
6 Ho 0.500 0.500 0.500
7 Ho 0.568 0.196 0.815
8 Ho 0.696 0.068 0.315
9 Ho 0.804 0.432 0.815
10 Ho 0.932 0.304 0.315
11 Cd 0.226 0.226 0.000
12 Cd 0.274 0.274 0.500
13 Cd 0.726 0.726 0.500
14 Cd 0.774 0.774 0.000
15 Co 0.108 0.892 0.388
16 Co 0.392 0.608 0.888
17 Co 0.608 0.392 0.112
18 Co 0.892 0.108 0.612

Total energy, eV/atom: -4.5604
Spin magnetization, μB per formula unit: 0.00
Formation energy from the elements, meV per atom: -235


3.
DFT (PBE) results for Ho8Cd3Co2 after structural relaxation.

a = 8.729 Å, b = 8.729 Å, c = 5.614 Å
α = 93.17°, β = 93.17°, γ = 54.56°
Element x y z (fractional)
1 Ho 0.087 0.611 0.133
2 Ho 0.091 0.091 0.331
3 Ho 0.312 0.312 0.619
4 Ho 0.389 0.913 0.867
5 Ho 0.611 0.087 0.133
6 Ho 0.688 0.688 0.381
7 Ho 0.909 0.909 0.669
8 Ho 0.913 0.389 0.867
9 Cd 0.323 0.677 0.500
10 Cd 0.500 0.500 0.000
11 Cd 0.677 0.323 0.500
12 Co 0.241 0.241 0.103
13 Co 0.759 0.759 0.897

Total energy, eV/atom: -4.2140
Spin magnetization, μB per formula unit: 0.00
Formation energy from the elements, meV per atom: -93


4.
DFT (PBE) results for LaHoCdCo after structural relaxation.

a = 5.161 Å, b = 5.161 Å, c = 5.161 Å
α = 60.00°, β = 60.00°, γ = 60.00°
Element x y z (fractional)
1 La 0.000 0.000 0.000
2 Ho 0.500 0.500 0.500
3 Cd 0.250 0.250 0.250
4 Co 0.750 0.750 0.750

Total energy, eV/atom: -4.4567
Spin magnetization, μB per formula unit: 0.39
Formation energy from the elements, meV per atom: -75